A relaxed Hf2CuGe4 crystal. Source: the Alexandria database, functional GGA-PBEsol.

Unit cell a=3.744 b=3.753 c=16.462 alpha=83.45 beta=90.00 gamma=90.00
Element x y z (fractional)
Hf 0.250 0.322 0.356
Hf 0.750 0.678 0.644
Hf 0.250 0.047 0.906
Hf 0.750 0.953 0.094
Cu 0.750 0.250 0.500
Cu 0.250 0.750 0.500
Ge 0.250 0.887 0.226
Ge 0.750 0.113 0.774
Ge 0.250 0.202 0.597
Ge 0.750 0.798 0.403
Ge 0.750 0.528 0.944
Ge 0.250 0.472 0.056
Ge 0.750 0.387 0.226
Ge 0.250 0.613 0.774

Output
- calculated volume (Å³/f.u.) = 114.9
- VASP energy (eV/cell) = -97.5
- total magnetization (μB per formula unit) = 0.00
- space group = Cmcm (63)
- DFT formation energy (meV/atom) = -521